Computed, not measured: a relaxed Tb9Pr2Sm crystal at the PBE-GGA level of DFT.

The structure in POSCAR format:
```
Tb9Pr2Sm
1.0
11.369 0.000 0.000
-5.685 9.846 0.000
0.000 0.000 3.516
Tb Pr Sm
9 2 1
direct
0.000 0.500 0.000
0.174 0.347 0.500
0.174 0.826 0.500
0.347 0.174 0.500
0.500 0.000 0.000
0.500 0.500 0.000
0.653 0.826 0.500
0.826 0.174 0.500
0.826 0.653 0.500
0.333 0.667 0.000
0.667 0.333 0.000
0.000 0.000 0.000
```

Output
**E**: -4.6008 eV per atom
**Excess energy over the best structure of this formula in the dataset**: 4.11 kJ per mole of atoms
**D(E_F)**: 17.3 states/eV per cell
**Magnetization**: 0.00 μB/cell

***

Computed, not measured: a relaxed Tb2PrSm9 crystal at the PBE-GGA level of DFT.

The structure in POSCAR format:
```
Tb2PrSm9
1.0
5.121 0.000 0.000
0.000 5.121 0.000
0.000 0.000 15.371
Tb Pr Sm
2 1 9
direct
0.000 0.000 0.166
0.000 0.000 0.834
0.000 0.000 0.500
0.000 0.500 0.000
0.000 0.500 0.331
0.000 0.500 0.669
0.500 0.000 0.000
0.500 0.000 0.331
0.500 0.000 0.669
0.500 0.500 0.165
0.500 0.500 0.500
0.500 0.500 0.835
```

Output
**E**: -4.6913 eV per atom
**Excess energy over the best structure of this formula in the dataset**: 0.00 kJ per mole of atoms
**D(E_F)**: 19.3 states/eV per cell
**Magnetization**: 0.00 μB/cell

***

Computed, not measured: a relaxed Tb7Pr2Sm3 crystal at the PBE-GGA level of DFT.

The structure in POSCAR format:
```
Tb7Pr2Sm3
1.0
5.873 0.000 0.000
0.000 3.606 0.000
-1.089 0.000 18.962
Tb Pr Sm
7 2 3
direct
0.000 0.000 0.000
0.189 0.500 0.173
0.258 0.500 0.538
0.313 0.000 0.858
0.687 0.000 0.142
0.742 0.500 0.462
0.811 0.500 0.827
0.290 0.500 0.707
0.710 0.500 0.293
0.222 0.000 0.369
0.500 0.500 0.000
0.778 0.000 0.631
```

Output
**E**: -4.5923 eV per atom
**Excess energy over the best structure of this formula in the dataset**: 0.62 kJ per mole of atoms
**D(E_F)**: 14.8 states/eV per cell
**Magnetization**: 0.00 μB/cell

***

Computed, not measured: a relaxed Tb4Pr3Sm8 crystal at the PBE-GGA level of DFT.

The structure in POSCAR format:
```
Tb4Pr3Sm8
1.0
7.019 -6.117 0.000
7.019 6.117 0.000
-3.394 0.000 6.033
Tb Pr Sm
4 3 8
direct
0.000 0.000 0.000
0.000 0.000 0.500
0.000 0.500 0.000
0.500 0.000 0.000
0.000 0.500 0.500
0.500 0.000 0.500
0.500 0.500 0.500
0.247 0.247 0.251
0.248 0.752 0.500
0.296 0.296 0.801
0.296 0.704 0.000
0.704 0.296 0.000
0.704 0.704 0.199
0.752 0.248 0.500
0.753 0.753 0.749
```

Output
**E**: -4.3720 eV per atom
**D(E_F)**: 24.9 states/eV per cell
**Magnetization**: 0.00 μB/cell

***

Computed, not measured: a relaxed Tb6Pr7Sm16 crystal at the PBE-GGA level of DFT.

The structure in POSCAR format:
```
Tb6Pr7Sm16
1.0
0.000 8.035 8.035
8.035 0.000 8.035
8.035 8.035 0.000
Tb Pr Sm
6 7 16
direct
0.235 0.235 0.765
0.235 0.765 0.235
0.235 0.765 0.765
0.765 0.235 0.235
0.765 0.235 0.765
0.765 0.765 0.235
0.000 0.000 0.500
0.000 0.500 0.000
0.000 0.500 0.500
0.500 0.000 0.000
0.500 0.000 0.500
0.500 0.500 0.000
0.500 0.500 0.500
0.121 0.626 0.626
0.151 0.151 0.151
0.151 0.151 0.546
0.151 0.546 0.151
0.374 0.374 0.374
0.374 0.374 0.879
0.374 0.879 0.374
0.454 0.849 0.849
0.546 0.151 0.151
0.626 0.121 0.626
0.626 0.626 0.121
0.626 0.626 0.626
0.849 0.454 0.849
0.849 0.849 0.454
0.849 0.849 0.849
0.879 0.374 0.374
```

Output
**E**: -4.4764 eV per atom
**D(E_F)**: 46.4 states/eV per cell
**Magnetization**: 0.00 μB/cell

***

Computed, not measured: a relaxed Tb4PrSm3 crystal at the PBE-GGA level of DFT.

The structure in POSCAR format:
```
Tb4PrSm3
1.0
-1.734 5.859 6.569
1.734 -5.859 6.569
1.734 5.859 -6.569
Tb Pr Sm
4 1 3
direct
0.115 0.865 0.250
0.385 0.135 0.250
0.615 0.865 0.750
0.885 0.135 0.750
0.000 0.000 0.000
0.241 0.741 0.500
0.500 0.500 0.000
0.759 0.259 0.500
```

Output
**E**: -4.5527 eV per atom
**Excess energy over the best structure of this formula in the dataset**: 9.98 kJ per mole of atoms
**D(E_F)**: 12.8 states/eV per cell
**Magnetization**: 0.00 μB/cell

***

The lowest E belongs to which entry? Tb2PrSm9

***

What is the magnetization in the fourth record? 0.00 μB/cell

***

What is the D(E_F) in the fifth record? 46.4 states/eV per cell

***

Among the records above, which one has the highest D(E_F)? Tb6Pr7Sm16